Compound: NaCd2Hg2
Source: Alexandria
Functional: GGA-PBEsol
Structure: optimized geometry

```
NaCd2Hg2
1.0
3.250 0.000 0.000
0.000 8.452 0.000
0.000 0.000 8.452
Hg Na Cd
4 2 4
direct
0.000 0.838 0.662
0.000 0.162 0.338
0.000 0.662 0.162
0.000 0.338 0.838
0.000 0.000 0.000
0.000 0.500 0.500
0.500 0.136 0.636
0.500 0.864 0.364
0.500 0.636 0.864
0.500 0.364 0.136
```

Properties
The value obtained for the energy is -1.08 eV/atom.